(1)
A plane-wave DFT calculation with PBE was carried out for a relaxed PrDy2ReN4 crystal.

Computed properties:
Calculated volume = 14.95 Å³ per atom
Uncorrected formation energy = -1029.2 meV/atom
M_tot = 0.00 μB/cell

```
16
Lattice="1.7433 -5.8926 0.0000 1.7433 5.8926 0.0000 0.0000 0.0000 11.6431" Properties=species:S:1:pos:R:3 pbc="T T T"
Pr 1.7433 4.5222 8.7323
Pr 1.7433 -4.5222 2.9108
Dy 1.7433 1.5465 6.2801
Dy 1.7433 1.5465 11.1845
Dy 1.7433 -1.5465 0.4586
Dy 1.7433 -1.5465 5.3629
Re 1.7433 4.1713 2.9108
Re 1.7433 -4.1713 8.7323
N 0.0000 0.0000 0.0000
N 0.0000 0.0000 5.8215
N 1.7433 2.7953 1.4772
N 1.7433 2.7953 4.3443
N 1.7433 0.7562 8.7323
N 1.7433 -0.7562 2.9108
N 1.7433 -2.7953 7.2988
N 1.7433 -2.7953 10.1659
```

***

(2)
A plane-wave DFT calculation with PBE was carried out for a relaxed SrInBiPb2 crystal.

Computed properties:
Calculated volume = 33.77 Å³ per atom
DFT formation energy = -23.7 kJ per mole of atoms
M_tot = 0.00 μB/cell

```
10
Lattice="2.4271 -5.8036 0.0000 2.4271 5.8036 0.0000 0.0000 0.0000 11.9855" Properties=species:S:1:pos:R:3 pbc="T T T"
Sr 2.4271 4.6368 8.9891
Sr 2.4271 -4.6368 2.9964
In 2.4271 0.0000 0.0000
In 2.4271 0.0000 5.9928
Bi 2.4271 1.2872 8.9891
Bi 2.4271 -1.2872 2.9964
Pb 2.4271 3.5440 0.9180
Pb 2.4271 3.5440 5.0748
Pb 2.4271 -3.5440 6.9107
Pb 2.4271 -3.5440 11.0675
```

***

(3)
A plane-wave DFT calculation with PBE was carried out for a relaxed ScCdMo crystal.

Computed properties:
Calculated volume = 23.82 Å³ per atom
DFT formation energy = 82.0 kJ per mole of atoms
Distance to the lowest polymorph of the same formula = 708 meV per atom
M_tot = 11.13 μB/cell

```
12
Lattice="6.5869 0.0000 0.0000 0.0000 6.5869 0.0000 0.0000 0.0000 6.5869" Properties=species:S:1:pos:R:3 pbc="T T T"
Sc 0.0000 0.0000 0.0000
Sc 0.0000 3.2935 3.2935
Sc 3.2935 0.0000 3.2935
Sc 3.2935 3.2935 0.0000
Cd 0.0000 0.0000 3.2935
Cd 0.0000 3.2935 0.0000
Cd 3.2935 0.0000 0.0000
Cd 3.2935 3.2935 3.2935
Mo 1.6467 1.6467 1.6467
Mo 1.6467 4.9402 4.9402
Mo 4.9402 1.6467 4.9402
Mo 4.9402 4.9402 1.6467
```

***

(4)
A plane-wave DFT calculation with PBE was carried out for a relaxed Li2EuRh crystal.

Computed properties:
Calculated volume = 20.94 Å³ per atom
DFT formation energy = 28.7 kJ per mole of atoms
Distance to the lowest polymorph of the same formula = 381 meV per atom
M_tot = 26.01 μB/cell

```
12
Lattice="3.0415 0.0000 0.0000 -1.5207 2.6340 0.0000 0.0000 0.0000 31.3709" Properties=species:S:1:pos:R:3 pbc="T T T"
Li 0.0000 0.0000 3.3264
Li 0.0000 0.0000 28.0446
Li 0.0000 1.7560 17.5876
Li 0.0000 1.7560 24.2403
Li 1.5207 0.8780 7.1306
Li 1.5207 0.8780 13.7834
Eu 0.0000 0.0000 0.0000
Eu 0.0000 1.7560 20.9140
Eu 1.5207 0.8780 10.4570
Rh 0.0000 0.0000 15.6855
Rh 0.0000 1.7560 5.2285
Rh 1.5207 0.8780 26.1424
```

***

(5)
A plane-wave DFT calculation with PBE was carried out for a relaxed P2S2O crystal.

Computed properties:
Calculated volume = 17.93 Å³ per atom
Uncorrected formation energy = 1456.4 meV/atom
M_tot = 0.00 μB/cell

```
5
Lattice="4.5338 0.0000 0.0000 0.0000 4.5338 0.0000 0.0000 0.0000 4.3617" Properties=species:S:1:pos:R:3 pbc="T T T"
P 0.0000 2.2669 0.0000
P 2.2669 0.0000 0.0000
S 0.0000 0.0000 0.0000
S 0.0000 0.0000 2.1809
O 2.2669 2.2669 2.1809
```

***

(6)
A plane-wave DFT calculation with PBE was carried out for a relaxed CdRu3S crystal.

Computed properties:
Calculated volume = 16.56 Å³ per atom
Uncorrected formation energy = 326.3 meV/atom
Distance to the lowest polymorph of the same formula = 0 meV per atom
M_tot = 0.00 μB/cell

```
5
Lattice="4.3587 0.0000 0.0000 0.0000 4.3587 0.0000 0.0000 0.0000 4.3587" Properties=species:S:1:pos:R:3 pbc="T T T"
Cd 0.0000 0.0000 0.0000
Ru 0.0000 2.1793 2.1793
Ru 2.1793 0.0000 2.1793
Ru 2.1793 2.1793 0.0000
S 2.1793 2.1793 2.1793
```

***

(7)
A plane-wave DFT calculation with PBE was carried out for a relaxed Na3NbAu crystal.

Computed properties:
Calculated volume = 32.89 Å³ per atom
DFT formation energy = 86.2 kJ per mole of atoms
Distance to the lowest polymorph of the same formula = 0 meV per atom
M_tot = 4.84 μB/cell

```
5
Lattice="5.4789 0.0000 0.0000 0.0000 5.4789 0.0000 0.0000 0.0000 5.4789" Properties=species:S:1:pos:R:3 pbc="T T T"
Na 0.0000 0.0000 2.7395
Na 0.0000 2.7395 0.0000
Na 2.7395 0.0000 0.0000
Nb 2.7395 2.7395 2.7395
Au 0.0000 0.0000 0.0000
```

***

(8)
A plane-wave DFT calculation with PBE was carried out for a relaxed LaP2SCl crystal.

Computed properties:
Calculated volume = 36.81 Å³ per atom
Uncorrected formation energy = 495.0 meV/atom
Distance to the lowest polymorph of the same formula = 799 meV per atom
M_tot = 1.08 μB/cell

```
5
Lattice="5.8406 0.0000 0.0000 0.0000 5.8406 0.0000 0.0000 0.0000 5.3955" Properties=species:S:1:pos:R:3 pbc="T T T"
La 0.0000 0.0000 0.0000
P 0.0000 2.9203 0.0000
P 2.9203 0.0000 0.0000
S 2.9203 2.9203 2.6977
Cl 0.0000 0.0000 2.6977
```

***

(9)
A plane-wave DFT calculation with PBE was carried out for a relaxed Mn3ZnTc crystal.

Computed properties:
Calculated volume = 19.84 Å³ per atom
DFT formation energy = 118.9 kJ per mole of atoms
Distance to the lowest polymorph of the same formula = 0 meV per atom
M_tot = 9.78 μB/cell

```
5
Lattice="4.6292 0.0000 0.0000 0.0000 4.6292 0.0000 0.0000 0.0000 4.6292" Properties=species:S:1:pos:R:3 pbc="T T T"
Mn 0.0000 0.0000 2.3146
Mn 0.0000 2.3146 0.0000
Mn 2.3146 0.0000 0.0000
Zn 2.3146 2.3146 2.3146
Tc 0.0000 0.0000 0.0000
```

***

(10)
A plane-wave DFT calculation with PBE was carried out for a relaxed Ta2CrP crystal.

Computed properties:
Calculated volume = 15.11 Å³ per atom
DFT formation energy = -15.8 kJ per mole of atoms
M_tot = 0.00 μB/cell

```
4
Lattice="3.2265 0.0000 0.0000 0.0000 3.2265 0.0000 0.0000 0.0000 5.8054" Properties=species:S:1:pos:R:3 pbc="T T T"
Ta 0.0000 0.0000 0.0000
Ta 1.6133 1.6133 1.8366
Cr 0.0000 0.0000 3.1980
P 1.6133 1.6133 4.5143
```

***

(11)
A plane-wave DFT calculation with PBE was carried out for a relaxed AcMg2CuHg4 crystal.

Computed properties:
Calculated volume = 23.81 Å³ per atom
DFT formation energy = -21.3 kJ per mole of atoms
M_tot = 0.00 μB/cell

```
8
Lattice="2.3745 1.3709 9.7534 -2.3745 1.3709 9.7534 0.0000 -2.7418 9.7534" Properties=species:S:1:pos:R:3 pbc="T T T"
Ac 0.0000 0.0000 0.0000
Mg 0.0000 0.0000 6.8359
Mg 0.0000 0.0000 22.4242
Cu 0.0000 0.0000 14.6300
Hg 0.0000 0.0000 3.8425
Hg 0.0000 0.0000 11.6744
Hg 0.0000 0.0000 17.5856
Hg 0.0000 0.0000 25.4175
```

***

(12)
A plane-wave DFT calculation with PBE was carried out for a relaxed NpTiAl4 crystal.

Computed properties:
Calculated volume = 18.17 Å³ per atom
DFT formation energy = -10.9 kJ per mole of atoms
M_tot = 5.34 μB/cell

```
6
Lattice="0.0000 3.7919 3.7919 3.7919 0.0000 3.7919 3.7919 3.7919 0.0000" Properties=species:S:1:pos:R:3 pbc="T T T"
Np 0.0000 0.0000 0.0000
Ti 5.6878 5.6878 5.6878
Al 2.8444 2.8444 2.8444
Al 4.7394 4.7394 2.8444
Al 4.7394 2.8444 4.7394
Al 2.8444 4.7394 4.7394
```

***

(13)
A plane-wave DFT calculation with PBE was carried out for a relaxed SiNiRh crystal.

Computed properties:
Calculated volume = 12.98 Å³ per atom
Uncorrected formation energy = -378.8 meV/atom
M_tot = 0.00 μB/cell

```
6
Lattice="4.9440 0.0000 0.0000 0.0000 2.8713 0.0000 -1.6394 0.0000 5.4863" Properties=species:S:1:pos:R:3 pbc="T T T"
Si 0.0000 0.0000 0.0000
Si 2.4720 1.4356 0.0000
Ni 0.8171 1.4356 1.5962
Ni 3.2891 0.0000 1.5962
Rh -0.8219 1.4356 3.7612
Rh 1.6501 0.0000 3.7612
```

***

(14)
A plane-wave DFT calculation with PBE was carried out for a relaxed RhAu crystal.

Computed properties:
Calculated volume = 16.16 Å³ per atom
DFT formation energy = 9.6 kJ per mole of atoms
M_tot = 0.00 μB/cell

```
4
Lattice="2.8210 0.0000 0.0000 0.0000 2.8210 0.0000 0.0000 0.0000 8.1211" Properties=species:S:1:pos:R:3 pbc="T T T"
Rh 0.7052 0.7052 0.8625
Rh 2.1157 2.1157 7.2586
Au 0.7052 0.7052 5.1760
Au 2.1157 2.1157 2.9451
```

***

(15)
A plane-wave DFT calculation with PBE was carried out for a relaxed GeOs2CCl crystal.

Computed properties:
Calculated volume = 18.62 Å³ per atom
Uncorrected formation energy = 1026.1 meV/atom
M_tot = 0.20 μB/cell

```
5
Lattice="3.8999 0.0000 0.0000 0.0000 3.8999 0.0000 0.0000 0.0000 6.1212" Properties=species:S:1:pos:R:3 pbc="T T T"
Ge 0.0000 0.0000 0.0000
Os 0.0000 1.9499 3.0606
Os 1.9499 0.0000 3.0606
C 1.9499 1.9499 3.0606
Cl 1.9499 1.9499 0.0000
```

***

(16)
A plane-wave DFT calculation with PBE was carried out for a relaxed ZnCd2Br crystal.

Computed properties:
Calculated volume = 26.20 Å³ per atom
Uncorrected formation energy = 128.1 meV/atom
Distance to the lowest polymorph of the same formula = 274 meV per atom
M_tot = 0.00 μB/cell

```
16
Lattice="7.4843 0.0000 0.0000 0.0000 7.4843 0.0000 0.0000 0.0000 7.4843" Properties=species:S:1:pos:R:3 pbc="T T T"
Zn 0.0000 0.0000 0.0000
Zn 0.0000 3.7422 3.7422
Zn 3.7422 0.0000 3.7422
Zn 3.7422 3.7422 0.0000
Cd 0.0000 0.0000 3.7422
Cd 0.0000 3.7422 0.0000
Cd 1.8711 1.8711 1.8711
Cd 1.8711 5.6132 5.6132
Cd 3.7422 0.0000 0.0000
Cd 3.7422 3.7422 3.7422
Cd 5.6132 1.8711 5.6132
Cd 5.6132 5.6132 1.8711
Br 1.8711 1.8711 5.6132
Br 1.8711 5.6132 1.8711
Br 5.6132 1.8711 1.8711
Br 5.6132 5.6132 5.6132
```

***

(17)
A plane-wave DFT calculation with PBE was carried out for a relaxed HoRe3N8 crystal.

Computed properties:
Calculated volume = 14.82 Å³ per atom
Uncorrected formation energy = 47.4 meV/atom
M_tot = 0.00 μB/cell

```
12
Lattice="5.7445 0.0000 0.0000 -2.8722 4.9749 0.0000 0.0000 0.0000 6.2244" Properties=species:S:1:pos:R:3 pbc="T T T"
Ho 0.0000 0.0000 0.0000
Re 0.0000 0.0000 3.1122
Re 0.0000 3.3166 4.8710
Re 2.8723 1.6583 1.3534
N 0.0000 1.5490 4.3220
N -1.5308 4.2004 4.3220
N 1.3415 0.7745 1.9024
N 0.0000 3.3166 0.3896
N 2.8723 1.6583 5.8347
N 1.5307 4.2004 4.3220
N 4.4030 0.7745 1.9024
N 2.8723 3.4258 1.9024
```

***

(18)
A plane-wave DFT calculation with PBE was carried out for a relaxed Dy3ZnGa crystal.

Computed properties:
Calculated volume = 25.06 Å³ per atom
DFT formation energy = -33.4 kJ per mole of atoms
Distance to the lowest polymorph of the same formula = 24 meV per atom
M_tot = 0.00 μB/cell

```
10
Lattice="5.6513 0.0000 0.0000 -2.1859 5.4537 0.0000 -1.7571 -2.4194 8.1317" Properties=species:S:1:pos:R:3 pbc="T T T"
Dy -0.3132 0.1738 2.7685
Dy -0.9028 0.8943 6.0709
Dy -0.0687 4.0523 1.1457
Dy 1.7770 -1.0180 6.9860
Dy 2.6111 2.1400 2.0608
Dy 2.0215 2.8605 5.3633
Zn -0.8075 3.0898 3.9909
Zn 2.5158 -0.0555 4.1408
Ga 0.6832 1.1373 0.0222
Ga 1.0251 1.8970 8.1095
```

***

(19)
A plane-wave DFT calculation with PBE was carried out for a relaxed NbCo2Pt2 crystal.

Computed properties:
Calculated volume = 14.62 Å³ per atom
DFT formation energy = -7.1 kJ per mole of atoms
Distance to the lowest polymorph of the same formula = 72 meV per atom
M_tot = 5.88 μB/cell

```
10
Lattice="7.2731 0.0000 0.0000 0.0000 7.2731 0.0000 0.0000 0.0000 2.7629" Properties=species:S:1:pos:R:3 pbc="T T T"
Nb 0.0000 0.0000 0.0000
Nb 3.6366 3.6366 0.0000
Co 1.2087 2.4278 1.3815
Co 2.4278 6.0644 1.3815
Co 4.8453 1.2087 1.3815
Co 6.0644 4.8453 1.3815
Pt 0.9602 4.5968 0.0000
Pt 2.6763 0.9602 0.0000
Pt 4.5968 6.3129 0.0000
Pt 6.3129 2.6763 0.0000
```

***

(20)
A plane-wave DFT calculation with PBE was carried out for a relaxed La2AlTe4 crystal.

Computed properties:
Calculated volume = 32.60 Å³ per atom
Uncorrected formation energy = -1115.3 meV/atom
M_tot = 0.00 μB/cell

```
14
Lattice="7.3387 0.0000 0.0000 0.0000 7.3904 0.0000 -2.6125 0.0000 8.4144" Properties=species:S:1:pos:R:3 pbc="T T T"
La 1.4840 1.8476 0.4189
La 0.3848 1.8476 4.7775
La 4.3414 5.5428 3.6369
La 3.2422 5.5428 7.9955
Al 1.1461 5.5428 2.6815
Al 3.5801 1.8476 5.7328
Te -0.6374 0.0382 2.1733
Te -0.6374 3.6570 2.1733
Te 2.8448 5.5428 0.6480
Te 1.4643 5.5428 5.3282
Te 3.2619 1.8476 3.0862
Te 1.8814 1.8476 7.7664
Te 5.3636 3.7334 6.2411
Te 5.3636 7.3522 6.2411
```